VASP calculation (GGA-PBE) on a geometry-optimized Ho4Si6Ru7 structure.

## Properties
Fermi-level density of states = 11.6 states/eV per cell
E_tot = -7.53 eV/atom
ΔE_f (raw) = -720 meV per atom
SG = No. 229
M_tot = 0.000 μB/f.u.
Crystal system = cubic

Cell lengths 7.1324, 7.1324, 7.1324 Å; angles 109.47, 109.47, 109.47 degrees
With the nearest neighbours (Å) after each atom.
Positions (direct):
Ho: 0.0000 0.0000 0.5000  6 Ru 2.91, 6 Si 2.97
Ho: 0.0000 0.5000 0.0000  6 Ru 2.91, 6 Si 2.97
Ho: 0.5000 0.0000 0.0000  6 Ru 2.91, 6 Si 2.97
Ho: 0.5000 0.5000 0.5000  6 Ru 2.91, 6 Si 2.97
Si: 0.0000 0.3209 0.3209  5 Ru 2.53-2.64
Si: 0.0000 0.6791 0.6791  5 Ru 2.53-2.64
Si: 0.3209 0.0000 0.3209  5 Ru 2.53-2.64
Si: 0.3209 0.3209 0.0000  5 Ru 2.53-2.64
Si: 0.6791 0.0000 0.6791  5 Ru 2.53-2.64
Si: 0.6791 0.6791 0.0000  5 Ru 2.53-2.64
Ru: 0.0000 0.0000 0.0000  6 Si 2.64
Ru: 0.2500 0.5000 0.7500  4 Si 2.53
Ru: 0.2500 0.7500 0.5000  4 Si 2.53
Ru: 0.5000 0.2500 0.7500  4 Si 2.53
Ru: 0.5000 0.7500 0.2500  4 Si 2.53
Ru: 0.7500 0.2500 0.5000  4 Si 2.53
Ru: 0.7500 0.5000 0.2500  4 Si 2.53

VASP calculation (GGA-PBE) on a geometry-optimized In2BiPb8 structure.

## Properties
Fermi-level density of states = 6.8 states/eV per cell
E_tot = -3.51 eV/atom
SG = No. 12
M_tot = 0.000 μB/f.u.
Energy relative to the elements = 0.040 eV per atom
Crystal system = monoclinic

Cell lengths 9.9748, 9.9748, 6.1262 Å; angles 96.31, 96.31, 34.31 degrees
With the nearest neighbours (Å) after each atom.
Positions (direct):
In: 0.2271 0.2271 0.3667  8 Pb 3.42-3.60, 2 In 3.43
In: 0.7729 0.7729 0.6333  8 Pb 3.42-3.60, 2 In 3.43
Bi: 0.5000 0.5000 0.0000  10 Pb 3.42-3.62
Pb: 0.0462 0.0462 0.2710  1 In 3.43, 7 Pb 3.43-3.59, 2 Bi 3.44
Pb: 0.1367 0.1367 0.8182  2 In 3.42-3.60, 8 Pb 3.42-3.59
Pb: 0.3189 0.3189 0.9070  1 Bi 3.43, 5 Pb 3.45-3.55, 4 In 3.45-3.56
Pb: 0.4083 0.4083 0.4478  2 Bi 3.42-3.62, 7 Pb 3.42-3.55, 1 In 3.43
Pb: 0.5917 0.5917 0.5522  2 Bi 3.42-3.62, 7 Pb 3.42-3.55, 1 In 3.43
Pb: 0.6811 0.6811 0.0930  1 Bi 3.43, 5 Pb 3.45-3.55, 4 In 3.45-3.56
Pb: 0.8633 0.8633 0.1818  2 In 3.42-3.60, 8 Pb 3.42-3.59
Pb: 0.9538 0.9538 0.7290  1 In 3.43, 7 Pb 3.43-3.59, 2 Bi 3.44

Fermi-level density of states of number 1 (Ho4Si6Ru7)?
11.6 states/eV per cell

Number 1 is which compound?
Ho4Si6Ru7

What is the M_tot in the first record?
0.000 μB/f.u.

The lowest E_tot belongs to which entry?
Ho4Si6Ru7